# 1
Ce2FePt | the Alexandria database | PBE | optimized geometry; energy = -6.42 eV/atom; spin magnetization = 0.0 μB/f.u.
1.0
3.5975 0.0000 0.0000
1.7987 3.1155 0.0000
1.7987 1.0385 8.4637
Ce Pt Fe
2 1 1
direct
0.1044 0.1044 0.6869 Ce
0.8956 0.8956 0.3131 Ce
0.0000 0.0000 0.0000 Pt
0.5000 0.5000 0.5000 Fe

# 2
Na3Er3TiSe8 | the Alexandria database | PBE | optimized geometry; energy = -5.11 eV/atom; raw formation energy = -23.3 eV/f.u.; spin magnetization = 0.0 μB/f.u.
1.0
-1.4694 -5.3712 5.7858
1.4272 -2.4722 -7.5051
6.4863 3.0888 4.5148
Na Er Ti Se
3 3 1 8
direct
0.0000 0.0000 0.0000 Na
0.0000 0.5000 0.0000 Na
0.5000 0.5000 0.0000 Na
0.5000 0.0000 0.5000 Er
0.5000 0.5000 0.5000 Er
0.0000 0.5000 0.5000 Er
0.0000 0.0000 0.5000 Ti
0.2568 0.5136 0.2706 Se
0.7432 0.4864 0.7294 Se
0.7736 0.5473 0.2861 Se
0.2264 0.4527 0.7139 Se
0.7737 0.0122 0.2861 Se
0.2263 0.9878 0.7139 Se
0.2385 0.0122 0.2861 Se
0.7615 0.9878 0.7139 Se

# 3
PmEr2Bi | the Alexandria database | PBE | optimized geometry; energy = -4.77 eV/atom; spin magnetization = 0.0 μB/f.u.; energy above the lowest structure with this stoichiometry = 130 meV/atom
1.0
-3.2448 -1.3663 1.9481
0.9932 -3.7714 -0.9906
4.0081 -0.5894 6.2626
Pm Bi Er
1 1 2
direct
0.5000 0.5000 0.0000 Pm
0.5000 0.5000 0.5000 Bi
0.0000 0.0000 0.7256 Er
0.0000 0.0000 0.2744 Er

Q: energy of number 3 (PmEr2Bi)?
A: -4.77 eV/atom

Q: What is the spin magnetization in the third record?
A: 0.0 μB/f.u.

Q: Number 3 is which compound?
A: PmEr2Bi